Entry 1:
The following is a DFT calculation (PBE-GGA) of a relaxed CdPdSe2 crystal.

Cell and atoms, written as POSCAR:
```
CdPdSe2
1.0
1.9534 1.1278 7.7961
-1.9534 1.1278 7.7961
0.0000 -2.2555 7.7961
Cd Pd Se
1 1 2
direct
0.0000 0.0000 0.0000
0.5000 0.5000 0.5000
0.1124 0.1124 0.1124
0.8876 0.8876 0.8876
```

Calculated values
**Relative energy among the computed polymorphs**: 87 meV per atom
**Formation energy from raw total energies**: -185.9 meV per atom
**Energy**: -0.12698 Ha/atom



Entry 2:
The following is a DFT calculation (PBE-GGA) of a relaxed SrTaHg3 crystal.

Cell and atoms, written as POSCAR:
```
SrTaHg3
1.0
5.9211 0.0000 0.0000
0.0000 5.9211 0.0000
0.0000 0.0000 5.9211
Sr Ta Hg
1 1 3
direct
0.0000 0.0000 0.0000
0.5000 0.5000 0.5000
0.0000 0.0000 0.5000
0.0000 0.5000 0.0000
0.5000 0.0000 0.0000
```

Calculated values
**E_form**: 140.1 kJ per mole of atoms
**Relative energy among the computed polymorphs**: 1140 meV per atom
**Energy**: -0.05277 Ha/atom



Entry 3:
The following is a DFT calculation (PBE-GGA) of a relaxed NaRh3N crystal.

Cell and atoms, written as POSCAR:
```
NaRh3N
1.0
4.5991 0.0000 0.0000
0.0000 4.5991 0.0000
0.0000 0.0000 4.5991
Na Rh N
1 3 1
direct
0.0000 0.0000 0.0000
0.0000 0.0000 0.5000
0.0000 0.5000 0.0000
0.5000 0.0000 0.0000
0.5000 0.5000 0.5000
```

Calculated values
**Relative energy among the computed polymorphs**: 2703 meV per atom
**Formation energy from raw total energies**: 2876.7 meV per atom
**Energy**: -0.12727 Ha/atom



Entry 4:
The following is a DFT calculation (PBE-GGA) of a relaxed YNpAl4 crystal.

Cell and atoms, written as POSCAR:
```
YNpAl4
1.0
0.0000 3.9249 3.9249
3.9249 0.0000 3.9249
3.9249 3.9249 0.0000
Y Np Al
1 1 4
direct
0.0000 0.0000 0.0000
0.7500 0.7500 0.7500
0.3755 0.3755 0.3755
0.3755 0.3755 0.8735
0.3755 0.8735 0.3755
0.8735 0.3755 0.3755
```

Calculated values
**E_form**: -23.8 kJ per mole of atoms
**Energy**: -0.21963 Ha/atom



Entry 5:
The following is a DFT calculation (PBE-GGA) of a relaxed CsNa2IrO4 crystal.

Cell and atoms, written as POSCAR:
```
CsNa2IrO4
1.0
-3.1054 3.1054 3.8049
3.1054 -3.1054 3.8049
3.1054 3.1054 -3.8049
Cs Na Ir O
1 2 1 4
direct
0.0000 0.0000 0.0000
0.2500 0.7500 0.5000
0.7500 0.2500 0.5000
0.5000 0.5000 0.0000
0.1903 0.5630 0.0000
0.4370 0.4370 0.6273
0.5630 0.1903 0.0000
0.8097 0.8097 0.3727
```

Calculated values
**Formation energy from raw total energies**: -1061.2 meV per atom
**Energy**: -0.18685 Ha/atom



Entry 6:
The following is a DFT calculation (PBE-GGA) of a relaxed Re2AsS crystal.

Cell and atoms, written as POSCAR:
```
Re2AsS
1.0
-2.7782 2.7782 5.0704
2.7782 -2.7782 5.0704
2.7782 2.7782 -5.0704
Re As S
4 2 2
direct
0.0986 0.6250 0.9736
0.3750 0.3486 0.4736
0.6514 0.1250 0.0264
0.8750 0.9014 0.5264
0.2500 0.7500 0.5000
0.5000 0.5000 0.0000
0.0000 0.0000 0.0000
0.7500 0.2500 0.5000
```

Calculated values
**Relative energy among the computed polymorphs**: 172 meV per atom
**Formation energy from raw total energies**: 587.2 meV per atom
**Energy**: -0.28779 Ha/atom



Entry 7:
The following is a DFT calculation (PBE-GGA) of a relaxed AcHoTlHg crystal.

Cell and atoms, written as POSCAR:
```
AcHoTlHg
1.0
0.0000 3.9406 3.9406
3.9406 0.0000 3.9406
3.9406 3.9406 0.0000
Ac Ho Tl Hg
1 1 1 1
direct
0.0000 0.0000 0.0000
0.5000 0.5000 0.5000
0.2500 0.2500 0.2500
0.7500 0.7500 0.7500
```

Calculated values
**E_form**: -35.2 kJ per mole of atoms
**Relative energy among the computed polymorphs**: 34 meV per atom
**Energy**: -0.11771 Ha/atom



Entry 8:
The following is a DFT calculation (PBE-GGA) of a relaxed CoCuRh2 crystal.

Cell and atoms, written as POSCAR:
```
CoCuRh2
1.0
1.3400 0.7737 8.4684
-1.3400 0.7737 8.4684
0.0000 -1.5473 8.4684
Co Cu Rh
1 1 2
direct
0.0000 0.0000 0.0000
0.8335 0.8335 0.8335
0.2526 0.2526 0.2526
0.4144 0.4144 0.4144
```

Calculated values
**E_form**: 3.0 kJ per mole of atoms
**Relative energy among the computed polymorphs**: 0 meV per atom
**Energy**: -0.23684 Ha/atom



Entry 9:
The following is a DFT calculation (PBE-GGA) of a relaxed HgTe2Au crystal.

Cell and atoms, written as POSCAR:
```
HgTe2Au
1.0
4.1373 0.0000 0.0000
0.0000 6.0006 0.0000
0.0000 0.0000 8.7075
Hg Te Au
2 4 2
direct
0.2500 0.2500 0.1221
0.7500 0.7500 0.8779
0.2500 0.7500 0.1556
0.2500 0.7500 0.5990
0.7500 0.2500 0.4010
0.7500 0.2500 0.8444
0.2500 0.2500 0.6209
0.7500 0.7500 0.3791
```

Calculated values
**Formation energy from raw total energies**: -34.8 meV per atom
**Energy**: -0.09189 Ha/atom



Entry 10:
The following is a DFT calculation (PBE-GGA) of a relaxed Si7Se6 crystal.

Cell and atoms, written as POSCAR:
```
Si7Se6
1.0
3.1060 1.7932 7.9084
-3.1060 1.7932 7.9084
0.0000 -3.5865 7.9084
Si Se
7 6
direct
0.0000 0.0000 0.0000
0.0696 0.0696 0.6144
0.0696 0.6144 0.0696
0.3856 0.9304 0.9304
0.6144 0.0696 0.0696
0.9304 0.3856 0.9304
0.9304 0.9304 0.3856
0.1766 0.1766 0.1766
0.3155 0.3155 0.3155
0.4464 0.4464 0.4464
0.5536 0.5536 0.5536
0.6845 0.6845 0.6845
0.8234 0.8234 0.8234
```

Calculated values
**Formation energy from raw total energies**: 330.3 meV per atom
**Energy**: -0.15427 Ha/atom



Entry 11:
The following is a DFT calculation (PBE-GGA) of a relaxed VSbRh crystal.

Cell and atoms, written as POSCAR:
```
VSbRh
1.0
0.0000 3.0386 3.0386
3.0386 0.0000 3.0386
3.0386 3.0386 0.0000
V Sb Rh
1 1 1
direct
0.0000 0.0000 0.0000
0.5000 0.5000 0.5000
0.7500 0.7500 0.7500
```

Calculated values
**Formation energy from raw total energies**: -302.8 meV per atom
**Energy**: -0.26338 Ha/atom



Entry 12:
The following is a DFT calculation (PBE-GGA) of a relaxed AcTb2Pr6Sm3 crystal.

Cell and atoms, written as POSCAR:
```
AcTb2Pr6Sm3
1.0
3.1991 -5.5396 0.0000
3.1991 5.5396 0.0000
-2.1403 0.0000 12.0349
Ac Tb Pr Sm
1 2 6 3
direct
0.0000 0.0000 0.0000
0.3336 0.6664 0.0000
0.6664 0.3336 0.0000
0.0846 0.4211 0.2524
0.2516 0.2516 0.7473
0.4211 0.0846 0.2524
0.5789 0.9154 0.7476
0.7484 0.7484 0.2527
0.9154 0.5789 0.7476
0.1671 0.8329 0.5000
0.5000 0.5000 0.5000
0.8329 0.1671 0.5000
```

Calculated values
**E_form**: 2.1 kJ per mole of atoms
**Energy**: -0.17132 Ha/atom



Entry 13:
The following is a DFT calculation (PBE-GGA) of a relaxed MnSi2Cl8 crystal.

Cell and atoms, written as POSCAR:
```
MnSi2Cl8
1.0
5.7510 -4.9654 0.0000
5.7510 4.9654 0.0000
-0.1440 0.0000 6.2752
Mn Si Cl
1 2 8
direct
0.0000 0.0000 0.0000
0.2229 0.2229 0.3693
0.7771 0.7771 0.6307
0.0393 0.7102 0.7739
0.1492 0.1492 0.7328
0.2898 0.9607 0.2261
0.3823 0.3823 0.2123
0.6177 0.6177 0.7877
0.7102 0.0393 0.7739
0.8508 0.8508 0.2672
0.9607 0.2898 0.2261
```

Calculated values
**Formation energy from raw total energies**: -806.4 meV per atom
**Energy**: -0.14586 Ha/atom



Entry 14:
The following is a DFT calculation (PBE-GGA) of a relaxed KBa2Cl crystal.

Cell and atoms, written as POSCAR:
```
KBa2Cl
1.0
-2.8496 2.8496 6.5989
2.8496 -2.8496 6.5989
2.8496 2.8496 -6.5989
K Ba Cl
1 2 1
direct
0.0000 0.0000 0.0000
0.2500 0.7500 0.5000
0.7500 0.2500 0.5000
0.5000 0.5000 0.0000
```

Calculated values
**Relative energy among the computed polymorphs**: 411 meV per atom
**Formation energy from raw total energies**: -418.5 meV per atom
**Energy**: -0.07776 Ha/atom



Entry 15:
The following is a DFT calculation (PBE-GGA) of a relaxed Tb3MnP2Rh9 crystal.

Cell and atoms, written as POSCAR:
```
Tb3MnP2Rh9
1.0
6.0264 0.0000 0.0000
-3.0132 5.2190 0.0000
0.0000 0.0000 8.6462
Tb Mn P Rh
3 1 2 9
direct
0.0000 0.0000 0.0000
0.3333 0.6667 0.6421
0.6667 0.3333 0.3579
0.0000 0.0000 0.5000
0.3333 0.6667 0.1646
0.6667 0.3333 0.8354
0.0000 0.5000 0.0000
0.1538 0.3075 0.2921
0.1538 0.8462 0.2921
0.3075 0.1538 0.7079
0.5000 0.0000 0.0000
0.5000 0.5000 0.0000
0.6925 0.8462 0.2921
0.8462 0.1538 0.7079
0.8462 0.6925 0.7079
```

Calculated values
**E_form**: -52.5 kJ per mole of atoms
**Energy**: -0.26512 Ha/atom



Entry 16:
The following is a DFT calculation (PBE-GGA) of a relaxed YHoP2 crystal.

Cell and atoms, written as POSCAR:
```
YHoP2
1.0
4.0006 -8.0002 0.0000
4.0006 8.0002 0.0000
-4.0006 0.0000 5.6582
Y Ho P
4 4 8
direct
0.0623 0.9377 0.7500
0.1874 0.8126 0.2500
0.8126 0.1874 0.7500
0.9377 0.0623 0.2500
0.3123 0.6877 0.7500
0.4374 0.5626 0.2500
0.5626 0.4374 0.7500
0.6877 0.3123 0.2500
0.0633 0.4382 0.2514
0.1897 0.3147 0.7514
0.3147 0.1897 0.2514
0.4382 0.0633 0.7514
0.5618 0.9367 0.2486
0.6853 0.8103 0.7486
0.8103 0.6853 0.2486
0.9367 0.5618 0.7486
```

Calculated values
**E_form**: -156.5 kJ per mole of atoms
**Relative energy among the computed polymorphs**: 0 meV per atom
**Energy**: -0.26048 Ha/atom



Entry 17:
The following is a DFT calculation (PBE-GGA) of a relaxed TaTiIO2 crystal.

Cell and atoms, written as POSCAR:
```
TaTiIO2
1.0
3.9689 0.0000 0.0000
0.0000 3.9689 0.0000
0.0000 0.0000 6.1177
Ta Ti I O
1 1 1 2
direct
0.0000 0.0000 0.0000
0.5000 0.5000 0.5000
0.0000 0.0000 0.5000
0.0000 0.5000 0.0000
0.5000 0.0000 0.0000
```

Calculated values
**Relative energy among the computed polymorphs**: 0 meV per atom
**Formation energy from raw total energies**: -966.9 meV per atom
**Energy**: -0.26495 Ha/atom



Entry 18:
The following is a DFT calculation (PBE-GGA) of a relaxed Ta7Se12O crystal.

Cell and atoms, written as POSCAR:
```
Ta7Se12O
1.0
6.6225 3.8235 2.8632
-6.6225 3.8235 2.8632
0.0000 -7.6470 2.8632
Ta Se O
7 12 1
direct
0.0000 0.0000 0.0000
0.2041 0.4797 0.4074
0.4074 0.2041 0.4797
0.4797 0.4074 0.2041
0.5203 0.5926 0.7959
0.5926 0.7959 0.5203
0.7959 0.5203 0.5926
0.0379 0.1194 0.3500
0.1194 0.3500 0.0379
0.1817 0.5850 0.7242
0.2758 0.8183 0.4150
0.3500 0.0379 0.1194
0.4150 0.2758 0.8183
0.5850 0.7242 0.1817
0.6500 0.9621 0.8806
0.7242 0.1817 0.5850
0.8183 0.4150 0.2758
0.8806 0.6500 0.9621
0.9621 0.8806 0.6500
0.5000 0.5000 0.5000
```

Calculated values
**Formation energy from raw total energies**: -694.5 meV per atom
**Energy**: -0.26392 Ha/atom



Entry 19:
The following is a DFT calculation (PBE-GGA) of a relaxed ZrAgRh2 crystal.

Cell and atoms, written as POSCAR:
```
ZrAgRh2
1.0
-2.0241 2.0241 8.9546
2.0241 -2.0241 8.9546
2.0241 2.0241 -8.9546
Zr Ag Rh
2 2 4
direct
0.0000 0.0000 0.0000
0.7500 0.2500 0.5000
0.2500 0.7500 0.5000
0.5000 0.5000 0.0000
0.1358 0.6250 0.0108
0.3750 0.3858 0.5108
0.6142 0.1250 0.9892
0.8750 0.8642 0.4892
```

Calculated values
**E_form**: 9.3 kJ per mole of atoms
**Energy**: -0.23625 Ha/atom



Entry 20:
The following is a DFT calculation (PBE-GGA) of a relaxed Pm2Pr2Y6Ho crystal.

Cell and atoms, written as POSCAR:
```
Pm2Pr2Y6Ho
1.0
3.1246 -5.3209 0.0000
3.1246 5.3209 0.0000
-1.6472 0.0000 11.5956
Pm Pr Y Ho
2 2 6 1
direct
0.1631 0.8369 0.0000
0.8369 0.1631 0.0000
0.3245 0.6755 0.5000
0.6755 0.3245 0.5000
0.0977 0.4309 0.7536
0.2352 0.2352 0.2543
0.4309 0.0977 0.7536
0.5691 0.9023 0.2464
0.7648 0.7648 0.7457
0.9023 0.5691 0.2464
0.5000 0.5000 0.0000
```

Calculated values
**E_form**: 17.5 kJ per mole of atoms
**Energy**: -0.20190 Ha/atom



| no. | density (Mg/m³) |
| --- | --- |
| 1 | 6.07 |
| 2 | 6.96 |
| 3 | 5.90 |
| 4 | 5.96 |
| 5 | 4.92 |
| 6 | 10.17 |
| 7 | 10.81 |
| 8 | 10.35 |
| 9 | 10.03 |
| 10 | 4.21 |
| 11 | 8.16 |
| 12 | 7.17 |
| 13 | 1.83 |
| 14 | 2.71 |
| 15 | 9.28 |
| 16 | 5.79 |
| 17 | 6.68 |
| 18 | 8.51 |
| 19 | 9.16 |
| 20 | 5.47 |